A relaxed structure of Nd6TeAu2Se3. Source: the Alexandria database, functional GGA-PBE.

a b c (Å): 4.2394 8.8013 9.7238
angles (deg): 104.94 102.59 90.00
Last column: nearest neighbours and their distance in Å.
Element x y z (fractional)
Nd1 0.3279 0.9109 0.6558  3 Se 3.03-3.04, 2 Au 3.07, 1 Te 3.15
Nd2 0.6642 0.5895 0.3284  3 Se 3.01-3.04, 3 Au 3.04-3.07
Nd3 0.6721 0.0891 0.3442  3 Se 3.03-3.04, 2 Au 3.07, 1 Te 3.15
Nd4 0.0011 0.2651 0.0021  3 Se 2.96-3.00, 1 Au 3.10, 2 Te 3.15
Nd5 0.9989 0.7349 0.9979  3 Se 2.96-3.00, 1 Au 3.10, 2 Te 3.15
Nd6 0.3358 0.4105 0.6716  3 Se 3.01-3.04, 3 Au 3.04-3.07
Te1 0.5000 0.0000 0.0000  6 Nd 3.15
Au1 0.8298 0.6590 0.6596  6 Nd 3.04-3.10
Au2 0.1702 0.3410 0.3404  6 Nd 3.04-3.10
Se1 0.5000 0.5000 0.0000  6 Nd 2.96-3.01
Se2 0.8371 0.1631 0.6742  6 Nd 3.00-3.04
Se3 0.1629 0.8369 0.3258  6 Nd 3.00-3.04

Output
V (A^3/atom): 28.5
Magnetic moment (μB/f.u.): 0.0
Uncorrected formation energy (eV per formula unit): -16.713
VASP energy (eV/f.u.): -65.470
Space group: C2/m